A crystal of LiTcP relaxed with PBEsol. Source: the Alexandria database, functional meta-GGA SCAN.

Relative energy among the computed polymorphs ... 0.0 meV per atom
Space-group type ... No. 107
Total moment ... 0.25 μB per atom
DFT formation energy ... -0.336 eV per atom

Geometry as POSCAR:
```
LiTcP
1.0
-1.5276 1.5276 3.8584
1.5276 -1.5276 3.8584
1.5276 1.5276 -3.8584
Li Tc P
1 1 1
direct
0.0000 0.0000 0.0000 Li
0.6811 0.6811 0.0000 Tc
0.3266 0.3266 0.0000 P
```


A crystal of KScIr2 relaxed with PBEsol. Source: the Alexandria database, functional meta-GGA SCAN.

Space-group type ... No. 123
Total moment ... 0.00 μB per atom
DFT formation energy ... 0.491 eV per atom

Geometry as POSCAR:
```
KScIr2
1.0
4.6823 0.0000 0.0000
0.0000 4.6823 0.0000
0.0000 0.0000 3.2682
K Sc Ir
1 1 2
direct
0.0000 0.0000 0.0000 K
0.5000 0.5000 0.0000 Sc
0.0000 0.5000 0.5000 Ir
0.5000 0.0000 0.5000 Ir
```